(1)
A plane-wave DFT calculation with PBE-GGA was carried out for an optimized crystal structure of LaFePt3.

Electronic total energy = -24.89 eV per cell
Symmetry = Pm-3m (221)
Energy above the most stable polymorph in this dataset = 1594 meV/atom

POSCAR file:
```
LaFePt3
1.0
5.2078 0.0000 0.0000
0.0000 5.2078 0.0000
0.0000 0.0000 5.2078
Pt Fe La
3 1 1
direct
0.0000 0.5000 0.0000 Pt
0.0000 0.0000 0.5000 Pt
0.5000 0.0000 0.0000 Pt
0.5000 0.5000 0.5000 Fe
0.0000 0.0000 0.0000 La
```

---

(2)
A plane-wave DFT calculation with PBE-GGA was carried out for an optimized crystal structure of UMnRe.

Electronic total energy = -130.60 eV per cell
Symmetry = P2_1/c (14)
Energy above the most stable polymorph in this dataset = 0 meV/atom

POSCAR file:
```
UMnRe
1.0
5.0852 0.1606 0.5185
-0.0837 6.0062 -1.0387
-0.5719 -3.3734 6.6538
Mn U Re
4 4 4
direct
0.3997 0.3048 0.0173 Mn
0.8997 0.1952 0.4827 Mn
0.6003 0.6952 0.9827 Mn
0.1003 0.8048 0.5173 Mn
0.9071 0.2396 0.1946 U
0.4071 0.2604 0.3054 U
0.5929 0.7396 0.6946 U
0.0929 0.7604 0.8054 U
0.8830 0.2747 0.8554 Re
0.6170 0.7747 0.3554 Re
0.3830 0.2253 0.6446 Re
0.1170 0.7253 0.1446 Re
```